A plane-wave DFT calculation with GGA+U was carried out for crystalline Fe3OF5 at its relaxed geometry.

Unit cell a=9.6767 b=6.8918 c=6.6643 alpha=90.00 beta=90.00 gamma=90.00
Space group Amm2 (No. 38)
Symmetry-distinct sites (fractional):
1 Fe 0.0000 0.0000 0.0000 (multiplicity 2)
2 Fe 0.1619 0.0000 0.4554 (multiplicity 4)
3 Fe 0.3241 0.0000 0.9828 (multiplicity 4)
4 Fe 0.5000 0.0000 0.4809 (multiplicity 2)
5 O 0.1563 0.0000 0.1682 (multiplicity 4)
6 F 0.0000 0.2025 0.4704 (multiplicity 4)
7 F 0.1505 0.0000 0.7630 (multiplicity 4)
8 F 0.3268 0.1948 0.4761 (multiplicity 8)
9 F 0.5000 0.0000 0.1776 (multiplicity 2)
10 F 0.5000 0.0000 0.7845 (multiplicity 2)

excess energy over the best structure of this formula in the dataset	37	meV/atom
total magnetic moment	52.00	Bohr magnetons per cell